Compound: CeErSn
Source: the Alexandria database
Functional: GGA-PBE
Structure: relaxed

Raw total energy   -16.2 eV/f.u.
Polymorph energy (0 for the lowest one)   0 meV/atom
Calculated formation energy   -0.573 eV/atom
M_tot   0.811 μB/cell

abc: 4.3596 4.3596 9.2744
angles: 103.59 103.59 90.00
Site moments in Bohr magnetons follow the coordinates.
Fractional positions:
Ce  0.0000  0.5000  0.0000  0.31
Ce  0.5000  0.0000  0.0000  0.31
Er  0.1777  0.1777  0.3554  0.01
Er  0.8223  0.8223  0.6446  0.01
Sn  0.3575  0.3575  0.7149  -0.01
Sn  0.6425  0.6425  0.2851  -0.01

---

Compound: Ce2ErSn9
Source: the Alexandria database
Functional: GGA-PBE
Structure: relaxed

Raw total energy   -58.3 eV/f.u.
Calculated formation energy   -0.485 eV/atom
M_tot   0.899 μB/cell

abc: 4.7212 4.7212 14.0718
angles: 90.00 90.00 90.00
Site moments in Bohr magnetons follow the coordinates.
Fractional positions:
Ce  0.0000  0.0000  0.3343  0.37
Ce  0.0000  0.0000  0.6657  0.37
Er  0.0000  0.0000  0.0000  0.00
Sn  0.5000  0.5000  0.0000  0.00
Sn  0.5000  0.5000  0.3322  0.00
Sn  0.5000  0.5000  0.6678  0.00
Sn  0.5000  0.0000  0.1646  0.01
Sn  0.5000  0.0000  0.5000  0.00
Sn  0.5000  0.0000  0.8354  0.01
Sn  0.0000  0.5000  0.1646  0.01
Sn  0.0000  0.5000  0.5000  0.00
Sn  0.0000  0.5000  0.8354  0.01

---

Compound: Ce8ErSn6
Source: the Alexandria database
Functional: GGA-PBE
Structure: relaxed

Raw total energy   -81.7 eV/f.u.
Calculated formation energy   -0.376 eV/atom
M_tot   9.439 μB/cell

abc: 9.3497 9.3497 8.4384
angles: 56.36 56.36 60.00
Site moments in Bohr magnetons follow the coordinates.
Fractional positions:
Ce  0.5582  0.2453  0.2921  0.89
Ce  0.7547  0.0957  0.7079  0.89
Ce  0.0957  0.4418  0.7079  0.89
Ce  0.6653  0.6653  0.0041  1.12
Ce  0.3347  0.3347  0.9959  1.12
Ce  0.9043  0.5582  0.2921  0.89
Ce  0.2453  0.9043  0.2921  0.89
Ce  0.4418  0.7547  0.7079  0.89
Er  0.0000  0.0000  0.0000  0.13
Sn  0.3915  0.0698  0.7926  -0.04
Sn  0.9302  0.2539  0.2074  -0.04
Sn  0.2539  0.6085  0.2074  -0.04
Sn  0.7461  0.3915  0.7926  -0.04
Sn  0.0698  0.7461  0.7926  -0.04
Sn  0.6085  0.9302  0.2074  -0.04

---

Question: M_tot of number 2 (Ce2ErSn9)?
Answer: 0.899 μB/cell